This record from Alexandria via LeMat-Bulk describes a relaxed structure of TiV2C2. The functional is PBE.

Properties
Total magnetic moment (μB per formula unit): 0.00
Mass density (Mg/m³): 5.40
Total DFT energy (no corrections) (eV per cell): -47.6

a b c (Å): 2.9686 2.9686 7.2115
angles (deg): 78.12 78.12 60.00
Fractional positions:
Ti 0.0000 0.0000 0.0000
V 0.2197 0.2197 0.3408
V 0.7803 0.7803 0.6592
C 0.6037 0.6037 0.1888
C 0.3963 0.3963 0.8112

=====

This record from Alexandria via LeMat-Bulk describes a relaxed structure of HfTlTe2Cl. The functional is PBE.

Properties
Total magnetic moment (μB per formula unit): 0.00
Formation energy without anion corrections (meV/atom): -921
Mass density (Mg/m³): 6.48
Total DFT energy (no corrections) (eV per cell): -50.1

a b c (Å): 4.1013 9.3104 9.3843
angles (deg): 105.47 90.00 90.00
Fractional positions:
Hf 0.2500 0.8355 0.8250
Hf 0.7500 0.1645 0.1750
Tl 0.2500 0.7420 0.3195
Tl 0.7500 0.2580 0.6805
Te 0.7500 0.8798 0.6254
Te 0.7500 0.8339 0.0482
Te 0.2500 0.1202 0.3746
Te 0.2500 0.1661 0.9518
Cl 0.2500 0.5687 0.7430
Cl 0.7500 0.4313 0.2570

=====

This record from Alexandria via LeMat-Bulk describes a relaxed structure of CaNpRh. The functional is PBE.

Properties
Total magnetic moment (μB per formula unit): 0.00
Mass density (Mg/m³): 9.38
Total DFT energy (no corrections) (eV per cell): -45.3

a b c (Å): 3.3535 5.7762 7.6087
angles (deg): 74.96 77.27 73.12
Fractional positions:
Np 0.3873 0.1957 0.0297
Np 0.6127 0.8043 0.9703
Rh 0.6825 0.3875 0.2474
Rh 0.3175 0.6125 0.7526
Ca 0.9136 0.7910 0.3819
Ca 0.0864 0.2090 0.6181

=====

This record from Alexandria via LeMat-Bulk describes a relaxed structure of HoLuSe. The functional is PBE.

Properties
Total magnetic moment (μB per formula unit): 0.00
Formation energy without anion corrections (meV/atom): -940
Mass density (Mg/m³): 9.18
Total DFT energy (no corrections) (eV per cell): -15.4

a b c (Å): 3.5551 3.5551 6.5012
angles (deg): 105.87 105.87 90.00
Fractional positions:
Lu 0.9803 0.9803 0.9605
Ho 0.6847 0.6847 0.3694
Se 0.3350 0.3350 0.6701

=====

This record from Alexandria via LeMat-Bulk describes a relaxed structure of ScTcAu2. The functional is PBE.

Properties
Total magnetic moment (μB per formula unit): 0.00
Mass density (Mg/m³): 12.58
Total DFT energy (no corrections) (eV per cell): -23.7

a b c (Å): 3.5371 3.5371 5.6666
angles (deg): 90.00 90.00 90.00
Fractional positions:
Au 0.0000 0.0000 0.9936
Au 0.0000 0.0000 0.5064
Sc 0.5000 0.5000 0.2500
Tc 0.5000 0.5000 0.7500

=====

This record from Alexandria via LeMat-Bulk describes a relaxed structure of GaNi3Pt2. The functional is PBE.

Properties
Total magnetic moment (μB per formula unit): 1.87
Mass density (Mg/m³): 11.86
Total DFT energy (no corrections) (eV per cell): -131.3

a b c (Å): 8.1091 8.1091 7.8879
angles (deg): 120.93 120.93 90.00
Fractional positions:
Ga 0.3032 0.3032 0.6063
Ga 0.6968 0.6968 0.3937
Ga 0.5532 0.0532 0.1063
Ga 0.9468 0.4468 0.8937
Ni 0.2720 0.7280 0.0000
Ni 0.1250 0.8750 0.2500
Ni 0.1250 0.3750 0.2500
Ni 0.7280 0.7280 0.0000
Ni 0.7280 0.2720 0.0000
Ni 0.9780 0.4780 0.5000
Ni 0.6250 0.8750 0.7500
Ni 0.1250 0.8750 0.7500
Ni 0.5220 0.0220 0.5000
Ni 0.5220 0.4780 0.5000
Ni 0.2720 0.2720 0.0000
Ni 0.9780 0.0220 0.5000
Pt 0.8946 0.6988 0.7893
Pt 0.3554 0.6596 0.7107
Pt 0.3012 0.1054 0.2107
Pt 0.3404 0.6446 0.2893
Pt 0.9096 0.1054 0.2107
Pt 0.9488 0.6446 0.2893
Pt 0.3554 0.0512 0.7107
Pt 0.8946 0.0904 0.7893